# Y2VWO

Crystalline Y2VWO at its relaxed geometry (PBE+U, the Alexandria database).

a = 4.9048 Å, b = 4.1348 Å, c = 4.9048 Å
α = 90.00°, β = 90.00°, γ = 90.00°
With the nearest neighbours (Å) after each atom.
Atoms (fractional coordinates):
V 0.0000 0.5000 0.0000  2 O 2.07
Y 0.5000 0.0000 0.0000  2 O 2.45
Y 0.0000 0.0000 0.5000  2 O 2.45
W 0.5000 0.5000 0.5000  8 Y 3.21, 4 V 3.47
O 0.0000 0.0000 0.0000  2 V 2.07

Values from the calculation:
The total moment is 0.10 μB per atom. The value obtained for the total energy is -35.3 eV per cell. Its symmetry is P4/mmm (123). Its crystal system is tetragonal. The density comes out at 7.15 g/cm³.